# SrIr2Cl

SrIr2Cl at its PBEsol-relaxed geometry (meta-GGA SCAN, the Alexandria database). Values from VASP.

Cell and atoms, written as Quantum ESPRESSO input:
```
&SYSTEM
  ibrav = 0, nat = 4, ntyp = 3
/
ATOMIC_SPECIES
Ir 192.22 Ir.upf
Cl 35.45 Cl.upf
Sr 87.62 Sr.upf
CELL_PARAMETERS angstrom
-1.878 2.451 -2.038
-0.542 -2.577 -2.600
-3.871 -1.588 5.015
ATOMIC_POSITIONS crystal
Ir 0.750 0.250 0.500
Ir 0.250 0.750 0.500
Cl 0.000 0.000 0.000
Sr 0.500 0.500 0.000
```

Calculated values
- Energy relative to the lowest polymorph listed for this composition: 0 meV/atom
- Calculated volume: 20.5 Å³ per atom
- ΔE_f (raw): -150 meV/atom